[1]
An optimized crystal structure of Ca4YAg. Source: Alexandria, functional PBEsol.

Computed properties:
* ΔH_f (0 K): 2.74 eV/f.u.
* total magnetic moment: 0.09 μB/atom
* space-group type: F-43m, No. 216

Structure (CIF):
```
data_Ca4YAg
_space_group_name_H-M_alt 'P 1'
_space_group_IT_number 1
_space_group_name_Hall 'P 1'
_cell_length_a 6.6621
_cell_length_b 6.6621
_cell_length_c 6.6621
_cell_angle_alpha 60.00
_cell_angle_beta 60.00
_cell_angle_gamma 60.00
loop_
_atom_site_label
_atom_site_fract_x
_atom_site_fract_y
_atom_site_fract_z
_atom_site_occupancy
Ca1 0.1248 0.1248 0.1248 1
Ca2 0.1248 0.1248 0.6256 1
Ca3 0.1248 0.6256 0.1248 1
Ca4 0.6256 0.1248 0.1248 1
Y1 0.7500 0.7500 0.7500 1
Ag1 0.5000 0.5000 0.5000 1
```

[2]
An optimized crystal structure of TaFeMo2. Source: Alexandria, functional PBEsol.

Computed properties:
* ΔH_f (0 K): 0.25 eV/f.u.
* total magnetic moment: 0.44 μB/atom
* energy above the lowest structure with this stoichiometry: 6.4 kJ/mol of atoms
* space-group type: C2/m, No. 12

Structure (CIF):
```
data_TaFeMo2
_space_group_name_H-M_alt 'P 1'
_space_group_IT_number 1
_space_group_name_Hall 'P 1'
_cell_length_a 5.1479
_cell_length_b 5.1479
_cell_length_c 2.6829
_cell_angle_alpha 99.86
_cell_angle_beta 99.86
_cell_angle_gamma 117.94
loop_
_atom_site_label
_atom_site_fract_x
_atom_site_fract_y
_atom_site_fract_z
_atom_site_occupancy
Ta1 0.0000 0.0000 0.0000 1
Fe1 0.5000 0.5000 0.0000 1
Mo1 0.0000 0.5000 0.5000 1
Mo2 0.5000 0.0000 0.5000 1
```

[3]
An optimized crystal structure of CsVP2O7. Source: Alexandria, functional PBEsol.

Computed properties:
* formation energy without anion corrections: -2.299 eV per atom
* total magnetic moment: 0.18 μB/atom
* space-group type: P2_1/c, No. 14

Structure (CIF):
```
data_CsVP2O7
_space_group_name_H-M_alt 'P 1'
_space_group_IT_number 1
_space_group_name_Hall 'P 1'
_cell_length_a 7.6946
_cell_length_b 10.0185
_cell_length_c 8.3478
_cell_angle_alpha 90.00
_cell_angle_beta 105.07
_cell_angle_gamma 90.00
loop_
_atom_site_label
_atom_site_fract_x
_atom_site_fract_y
_atom_site_fract_z
_atom_site_occupancy
Cs1 0.1949 0.1987 0.0438 1
Cs2 0.1949 0.3013 0.5438 1
Cs3 0.8051 0.6987 0.4562 1
Cs4 0.8051 0.8013 0.9562 1
V1 0.2398 0.6002 0.2594 1
V2 0.2398 0.8998 0.7594 1
V3 0.7602 0.1002 0.2406 1
V4 0.7602 0.3998 0.7406 1
P1 0.1302 0.5957 0.8332 1
P2 0.1302 0.9043 0.3332 1
P3 0.4261 0.6284 0.6832 1
P4 0.4261 0.8716 0.1832 1
P5 0.5739 0.1284 0.8168 1
P6 0.5739 0.3716 0.3168 1
P7 0.8698 0.0957 0.6668 1
P8 0.8698 0.4043 0.1668 1
O1 0.0145 0.0027 0.7671 1
O2 0.0145 0.4973 0.2671 1
O3 0.0930 0.7384 0.7667 1
O4 0.0930 0.7616 0.2667 1
O5 0.1557 0.5859 0.0184 1
O6 0.1557 0.9141 0.5184 1
O7 0.3177 0.5481 0.7972 1
O8 0.3177 0.9519 0.2972 1
O9 0.3214 0.6026 0.5047 1
O10 0.3214 0.8974 0.0047 1
O11 0.3853 0.0688 0.7694 1
O12 0.3853 0.4312 0.2694 1
O13 0.4348 0.7245 0.2343 1
O14 0.4348 0.7755 0.7343 1
O15 0.5652 0.2245 0.2657 1
O16 0.5652 0.2755 0.7657 1
O17 0.6147 0.5688 0.7306 1
O18 0.6147 0.9312 0.2306 1
O19 0.6786 0.1026 0.9953 1
O20 0.6786 0.3974 0.4953 1
O21 0.6823 0.0481 0.7028 1
O22 0.6823 0.4519 0.2028 1
O23 0.8443 0.0859 0.4816 1
O24 0.8443 0.4141 0.9816 1
O25 0.9070 0.2384 0.7333 1
O26 0.9070 0.2616 0.2333 1
O27 0.9855 0.5027 0.7329 1
O28 0.9855 0.9973 0.2329 1
```

[4]
An optimized crystal structure of Sr2NiW. Source: Alexandria, functional PBEsol.

Computed properties:
* ΔH_f (0 K): 2.76 eV/f.u.
* total magnetic moment: 0.00 μB/atom
* energy above the lowest structure with this stoichiometry: 0.0 kJ/mol of atoms
* space-group type: Immm, No. 71

Structure (CIF):
```
data_Sr2NiW
_space_group_name_H-M_alt 'P 1'
_space_group_IT_number 1
_space_group_name_Hall 'P 1'
_cell_length_a 9.2473
_cell_length_b 9.2473
_cell_length_c 9.2473
_cell_angle_alpha 159.05
_cell_angle_beta 157.48
_cell_angle_gamma 30.94
loop_
_atom_site_label
_atom_site_fract_x
_atom_site_fract_y
_atom_site_fract_z
_atom_site_occupancy
Sr1 0.1487 0.1487 0.0000 1
Sr2 0.8513 0.8513 0.0000 1
Ni1 0.0000 0.5000 0.5000 1
W1 0.5000 0.0000 0.5000 1
```

[5]
An optimized crystal structure of BaSrAg2. Source: Alexandria, functional PBEsol.

Computed properties:
* ΔH_f (0 K): -0.76 eV/f.u.
* total magnetic moment: 0.00 μB/atom
* energy above the lowest structure with this stoichiometry: 4.8 kJ/mol of atoms
* space-group type: P4/mmm, No. 123

Structure (CIF):
```
data_BaSrAg2
_space_group_name_H-M_alt 'P 1'
_space_group_IT_number 1
_space_group_name_Hall 'P 1'
_cell_length_a 5.5837
_cell_length_b 5.5837
_cell_length_c 3.8688
_cell_angle_alpha 90.00
_cell_angle_beta 90.00
_cell_angle_gamma 90.00
loop_
_atom_site_label
_atom_site_fract_x
_atom_site_fract_y
_atom_site_fract_z
_atom_site_occupancy
Ba1 0.0000 0.0000 0.0000 1
Sr1 0.5000 0.5000 0.0000 1
Ag1 0.0000 0.5000 0.5000 1
Ag2 0.5000 0.0000 0.5000 1
```

[6]
An optimized crystal structure of CdGeAs2. Source: Alexandria, functional PBEsol.

Computed properties:
* ΔH_f (0 K): -0.22 eV/f.u.
* total magnetic moment: 0.00 μB/atom
* space-group type: I-42d, No. 122

Structure (CIF):
```
data_CdGeAs2
_space_group_name_H-M_alt 'P 1'
_space_group_IT_number 1
_space_group_name_Hall 'P 1'
_cell_length_a 7.0406
_cell_length_b 7.0406
_cell_length_c 7.0406
_cell_angle_alpha 130.07
_cell_angle_beta 130.07
_cell_angle_gamma 73.30
loop_
_atom_site_label
_atom_site_fract_x
_atom_site_fract_y
_atom_site_fract_z
_atom_site_occupancy
Cd1 0.0000 0.0000 0.0000 1
Cd2 0.7500 0.2500 0.5000 1
Ge1 0.2500 0.7500 0.5000 1
Ge2 0.5000 0.5000 0.0000 1
As1 0.1505 0.6250 0.0255 1
As2 0.3750 0.4005 0.5255 1
As3 0.5995 0.1250 0.9745 1
As4 0.8750 0.8495 0.4745 1
```

[7]
An optimized crystal structure of BaBCl3. Source: Alexandria, functional PBEsol.

Computed properties:
* formation energy without anion corrections: -0.890 eV per atom
* total magnetic moment: 0.00 μB/atom
* space-group type: Pm-3m, No. 221

Structure (CIF):
```
data_BaBCl3
_space_group_name_H-M_alt 'P 1'
_space_group_IT_number 1
_space_group_name_Hall 'P 1'
_cell_length_a 4.7643
_cell_length_b 4.7643
_cell_length_c 4.7643
_cell_angle_alpha 90.00
_cell_angle_beta 90.00
_cell_angle_gamma 90.00
loop_
_atom_site_label
_atom_site_fract_x
_atom_site_fract_y
_atom_site_fract_z
_atom_site_occupancy
Ba1 0.0000 0.0000 0.0000 1
B1 0.5000 0.5000 0.5000 1
Cl1 0.0000 0.5000 0.5000 1
Cl2 0.5000 0.0000 0.5000 1
Cl3 0.5000 0.5000 0.0000 1
```

[8]
An optimized crystal structure of Ca2LaTlH. Source: Alexandria, functional PBEsol.

Computed properties:
* calculated total energy: -2.731 eV per atom
* total magnetic moment: 0.01 μB/atom
* space-group type: P4/mmm, No. 123

Structure (CIF):
```
data_Ca2LaTlH
_space_group_name_H-M_alt 'P 1'
_space_group_IT_number 1
_space_group_name_Hall 'P 1'
_cell_length_a 6.4024
_cell_length_b 6.4024
_cell_length_c 3.8421
_cell_angle_alpha 90.00
_cell_angle_beta 90.00
_cell_angle_gamma 90.00
loop_
_atom_site_label
_atom_site_fract_x
_atom_site_fract_y
_atom_site_fract_z
_atom_site_occupancy
Ca1 0.0000 0.5000 0.0000 1
Ca2 0.5000 0.0000 0.0000 1
La1 0.0000 0.0000 0.5000 1
Tl1 0.5000 0.5000 0.0000 1
H1 0.5000 0.5000 0.5000 1
```

[9]
An optimized crystal structure of NbPCl2. Source: Alexandria, functional PBEsol.

Computed properties:
* formation energy without anion corrections: -0.273 eV per atom
* total magnetic moment: 0.00 μB/atom
* energy above the lowest structure with this stoichiometry: 0.0 kJ/mol of atoms
* space-group type: R-3m, No. 166

Structure (CIF):
```
data_NbPCl2
_space_group_name_H-M_alt 'P 1'
_space_group_IT_number 1
_space_group_name_Hall 'P 1'
_cell_length_a 11.0586
_cell_length_b 11.0586
_cell_length_c 11.0586
_cell_angle_alpha 15.64
_cell_angle_beta 15.64
_cell_angle_gamma 15.64
loop_
_atom_site_label
_atom_site_fract_x
_atom_site_fract_y
_atom_site_fract_z
_atom_site_occupancy
Nb1 0.0000 0.0000 0.0000 1
P1 0.5000 0.5000 0.5000 1
Cl1 0.3884 0.3884 0.3884 1
Cl2 0.6116 0.6116 0.6116 1
```

[10]
An optimized crystal structure of CuSiAgTe2. Source: Alexandria, functional PBEsol.

Computed properties:
* formation energy without anion corrections: 0.799 eV per atom
* total magnetic moment: 0.00 μB/atom
* space-group type: P4/mmm, No. 123

Structure (CIF):
```
data_CuSiAgTe2
_space_group_name_H-M_alt 'P 1'
_space_group_IT_number 1
_space_group_name_Hall 'P 1'
_cell_length_a 5.2629
_cell_length_b 5.2629
_cell_length_c 4.6311
_cell_angle_alpha 90.00
_cell_angle_beta 90.00
_cell_angle_gamma 90.00
loop_
_atom_site_label
_atom_site_fract_x
_atom_site_fract_y
_atom_site_fract_z
_atom_site_occupancy
Cu1 0.0000 0.0000 0.0000 1
Si1 0.5000 0.5000 0.5000 1
Ag1 0.5000 0.5000 0.0000 1
Te1 0.0000 0.5000 0.5000 1
Te2 0.5000 0.0000 0.5000 1
```